This record from Alexandria describes a relaxed NbCu2Ge2 crystal. The functional is GGA-PBE.

```
data_NbCu2Ge2
_chemical_formula_sum 'Nb2 Cu4 Ge4'
_cell_length_a 7.170
_cell_length_b 7.170
_cell_length_c 2.909
_cell_angle_alpha 90.00
_cell_angle_beta 90.00
_cell_angle_gamma 90.00
_space_group_name_H-M_alt 'P 4/m b m'
_space_group_IT_number 127
_space_group_name_Hall '-P 4 2ab'
loop_
_atom_site_label
_atom_site_type_symbol
_atom_site_fract_x
_atom_site_fract_y
_atom_site_fract_z
_atom_site_occupancy
Nb1 Nb 0.000 0.000 0.000 1
Cu1 Cu 0.119 0.381 0.000 1
Ge1 Ge 0.181 0.681 0.500 1
```

Calculated values
- formation energy from the elements (eV/atom) = 0.066
- uncorrected energy (eV per atom) = -5.43
- size of the total moment (μB per cell) = 0.000